Zn2CdCo after structural relaxation. Source: Alexandria, functional GGA-PBE.

Cell lengths 3.0813, 3.0777, 6.3940 Å; angles 90.00, 90.00, 90.00 degrees
Last column: magnetic moment on the atom in μB.
Fractional coordinates of all 4 atoms:
Cd  0.0000  0.0000  0.5202  -0.01
Co  0.5000  0.5000  0.7917  0.97
Zn  0.0000  0.0000  0.9736  -0.03
Zn  0.5000  0.5000  0.2145  0.01

Output
Space-group type: P4mm (99)
Size of the total moment: 0.899 μB/f.u.


Zn3CdCo after structural relaxation. Source: Alexandria, functional GGA-PBE.

Cell lengths 4.5853, 4.5853, 4.5853 Å; angles 90.00, 90.00, 90.00 degrees
Fractional coordinates of all 5 atoms:
Zn  0.0000  0.5000  0.0000
Zn  0.0000  0.0000  0.5000
Zn  0.5000  0.0000  0.0000
Co  0.0000  0.0000  0.0000
Cd  0.5000  0.5000  0.5000

Output
Space-group type: Pm-3m (221)
Size of the total moment: 0.000 μB/f.u.
Excess energy over the best structure of this formula in the dataset: 0 meV per atom


Zr4CdCo after structural relaxation. Source: Alexandria, functional GGA-PBE.

Cell lengths 5.6808, 5.6808, 5.6808 Å; angles 60.00, 60.00, 60.00 degrees
Last column: magnetic moment on the atom in μB.
Fractional coordinates of all 6 atoms:
Zr  0.8775  0.3742  0.3742  -0.02
Zr  0.3742  0.3742  0.8775  -0.02
Zr  0.3742  0.8775  0.3742  -0.02
Zr  0.3742  0.3742  0.3742  -0.02
Cd  0.7500  0.7500  0.7500  0.01
Co  0.0000  0.0000  0.0000  1.66

Output
Space-group type: F-43m (216)
Size of the total moment: 1.411 μB/f.u.
Excess energy over the best structure of this formula in the dataset: 679 meV per atom


ZrCdCo2 after structural relaxation. Source: Alexandria, functional GGA-PBE.

Cell lengths 3.7451, 3.6791, 5.0635 Å; angles 68.68, 90.00, 90.00 degrees
Fractional coordinates of all 4 atoms:
Cd  0.5000  0.7749  0.8254
Co  0.0000  0.1897  0.9956
Co  0.5000  0.0569  0.2611
Zr  0.0000  0.4785  0.4180

Output
Space-group type: Amm2 (38)
Size of the total moment: 0.001 μB/f.u.


ZrCdCo2 after structural relaxation. Source: Alexandria, functional GGA-PBE.

Cell lengths 4.2569, 4.2557, 3.3582 Å; angles 90.00, 90.00, 90.00 degrees
Fractional coordinates of all 4 atoms:
Cd  0.0000  0.5000  0.5000
Co  0.0000  0.0000  0.0000
Co  0.5000  0.5000  0.0000
Zr  0.5000  0.0000  0.5000

Output
Space-group type: P4/mmm (123)
Size of the total moment: 0.000 μB/f.u.


ZrCdCo2 after structural relaxation. Source: Alexandria, functional GGA-PBE.

Cell lengths 3.0197, 3.0659, 7.0001 Å; angles 90.00, 90.00, 90.00 degrees
Last column: magnetic moment on the atom in μB.
Fractional coordinates of all 4 atoms:
Cd  0.5000  0.5000  0.7934  -0.02
Co  0.0000  0.0000  0.0509  1.53
Co  0.5000  0.5000  0.2023  1.48
Zr  0.0000  0.0000  0.4534  -0.10

Output
Space-group type: Pmm2 (25)
Size of the total moment: 2.791 μB/f.u.


Zr4CdCo after structural relaxation. Source: Alexandria, functional GGA-PBE.

Cell lengths 8.8994, 8.8994, 8.8994 Å; angles 60.00, 60.00, 60.00 degrees
Fractional coordinates of all 24 atoms:
Zr  0.4043  0.4043  0.4043
Zr  0.7872  0.4043  0.4043
Zr  0.4043  0.7872  0.4043
Zr  0.4043  0.4043  0.7872
Zr  0.5612  0.5612  0.9388
Zr  0.9388  0.9388  0.5612
Zr  0.5612  0.9388  0.5612
Zr  0.9388  0.5612  0.9388
Zr  0.9388  0.5612  0.5612
Zr  0.5612  0.9388  0.9388
Zr  0.1865  0.1865  0.8135
Zr  0.8135  0.8135  0.1865
Zr  0.1865  0.8135  0.1865
Zr  0.8135  0.1865  0.8135
Zr  0.8135  0.1865  0.1865
Zr  0.1865  0.8135  0.8135
Cd  0.1671  0.1671  0.1671
Cd  0.4986  0.1671  0.1671
Cd  0.1671  0.4986  0.1671
Cd  0.1671  0.1671  0.4986
Co  0.6093  0.6093  0.6093
Co  0.1720  0.6093  0.6093
Co  0.6093  0.1720  0.6093
Co  0.6093  0.6093  0.1720

Output
Space-group type: F-43m (216)
Size of the total moment: 0.001 μB/f.u.
Excess energy over the best structure of this formula in the dataset: 0 meV per atom


Zr2CdCo2 after structural relaxation. Source: Alexandria, functional GGA-PBE.

Cell lengths 4.4261, 4.4261, 5.7446 Å; angles 67.34, 67.34, 90.00 degrees
Fractional coordinates of all 5 atoms:
Co  0.3865  0.3865  0.2270
Co  0.6135  0.6135  0.7730
Zr  0.7500  0.2500  0.5000
Zr  0.2500  0.7500  0.5000
Cd  0.0000  0.0000  0.0000

Output
Space-group type: I4/mmm (139)
Size of the total moment: 0.000 μB/f.u.


Values of ΔE_f, in order: 0.12; 0.34; 0.52; 0.00; -0.06; 0.03; -0.16; 0.00, all in eV/atom.